Entry 1:
Entry from the Alexandria database: crystalline Li3Eu at its relaxed geometry (PBE-GGA).

Total magnetization = 1.930 μB per atom
Energy relative to the elements = 0.11 eV/atom
Raw total energy = -3.893 eV/atom

Cell: 3.422 5.282 5.961 Å, 90.00 90.00 90.00°
Space group Pmm2 (No. 25)
Symmetry-distinct sites (fractional):
Li1 0.000 0.000 0.000 [1 per cell]
Li2 0.000 0.500 0.267 [1 per cell]
Li3 0.500 0.000 0.411 [1 per cell]
Eu1 0.500 0.500 0.769 [1 per cell]

=====

Entry 2:
Entry from the Alexandria database: crystalline NpCu2Cl8 at its relaxed geometry (PBE-GGA).

Total magnetization = 0.089 μB per atom
E above lowest polymorph = 0.000 eV/atom
Formation energy (no corrections) = -0.968 eV/atom
Raw total energy = -4.232 eV/atom

Cell: 13.295 7.756 6.842 Å, 90.00 91.51 90.00°
Space group C2/m (No. 12)
Symmetry-distinct sites (fractional):
Np1 0.000 0.000 0.000 [2 per cell]
Cu1 0.204 0.000 0.749 [4 per cell]
Cl1 0.111 0.000 0.295 [4 per cell]
Cl2 0.114 0.229 0.843 [8 per cell]
Cl3 0.153 0.500 0.374 [4 per cell]

=====

Entry 3:
Entry from the Alexandria database: crystalline DyTm3Tl4 at its relaxed geometry (PBE-GGA).

Total magnetization = 0.000 μB per atom
E above lowest polymorph = 0.000 eV/atom
Energy relative to the elements = -0.30 eV/atom
Raw total energy = -3.740 eV/atom

Cell: 5.361 5.361 7.433 Å, 90.00 90.00 90.00°
Space group P4/mmm (No. 123)
Symmetry-distinct sites (fractional):
Dy1 0.000 0.000 0.000 [1 per cell]
Tm1 0.000 0.000 0.500 [1 per cell]
Tm2 0.500 0.500 0.000 [1 per cell]
Tm3 0.500 0.500 0.500 [1 per cell]
Tl1 0.000 0.500 0.252 [4 per cell]

=====

Entry 4:
Entry from the Alexandria database: crystalline Cs4Cd3SnBr12 at its relaxed geometry (PBE-GGA).

Total magnetization = 0.000 μB per atom
Formation energy (no corrections) = -1.234 eV/atom
Raw total energy = -2.746 eV/atom

Cell: 11.356 11.356 11.356 Å, 90.00 90.00 90.00°
Space group Im-3m (No. 229)
Symmetry-distinct sites (fractional):
Cs1 0.250 0.250 0.250 [8 per cell]
Cd1 0.000 0.000 0.500 [6 per cell]
Sn1 0.000 0.000 0.000 [2 per cell]
Br1 0.000 0.000 0.256 [12 per cell]
Br2 0.000 0.250 0.500 [12 per cell]

=====

Entry 5:
Entry from the Alexandria database: crystalline Tb12SmTh2 at its relaxed geometry (PBE-GGA).

Total magnetization = 0.000 μB per atom
Energy relative to the elements = 0.12 eV/atom
Raw total energy = -4.890 eV/atom

Cell: 7.092 11.175 24.703 Å, 90.00 94.19 90.00°
Space group C2/m (No. 12)
Symmetry-distinct sites (fractional):
Tb1 0.018 0.250 0.074 [8 per cell]
Tb2 0.111 0.240 0.445 [8 per cell]
Tb3 0.146 0.500 0.588 [4 per cell]
Tb4 0.159 0.000 0.567 [4 per cell]
Tb5 0.168 0.240 0.670 [8 per cell]
Tb6 0.199 0.248 0.798 [8 per cell]
Tb7 0.215 0.000 0.863 [4 per cell]
Tb8 0.216 0.500 0.863 [4 per cell]
Sm1 0.250 0.000 0.000 [4 per cell]
Th1 0.059 0.500 0.269 [4 per cell]
Th2 0.076 0.000 0.270 [4 per cell]

=====

Entry 6:
Entry from the Alexandria database: crystalline Cs3SmNp2Te6 at its relaxed geometry (PBE-GGA).

Total magnetization = 0.667 μB per atom
Formation energy (no corrections) = -1.054 eV/atom
Raw total energy = -5.388 eV/atom

Cell: 8.021 13.893 9.310 Å, 90.00 106.69 90.00°
Space group C2/m (No. 12)
Symmetry-distinct sites (fractional):
Cs1 0.000 0.000 0.000 [2 per cell]
Cs2 0.000 0.335 0.000 [4 per cell]
Sm1 0.000 0.500 0.500 [2 per cell]
Np1 0.000 0.167 0.500 [4 per cell]
Te1 0.229 0.000 0.691 [4 per cell]
Te2 0.231 0.333 0.691 [8 per cell]

=====

What did the first record say?
Entry from the Alexandria database: crystalline Li3Eu at its relaxed geometry (PBE-GGA).

Total magnetization = 1.930 μB per atom
Energy relative to the elements = 0.11 eV/atom
Raw total energy = -3.893 eV/atom

Cell: 3.422 5.282 5.961 Å, 90.00 90.00 90.00°
Space group Pmm2 (No. 25)
Symmetry-distinct sites (fractional):
Li1 0.000 0.000 0.000 [1 per cell]
Li2 0.000 0.500 0.267 [1 per cell]
Li3 0.500 0.000 0.411 [1 per cell]
Eu1 0.500 0.500 0.769 [1 per cell]

=====

> total magnetization of number 2 (NpCu2Cl8)?

0.089 μB per atom